(1)
Entry from Alexandria: an optimized crystal structure of BaP2RuS (GGA-PBEsol).

The total DFT energy (no corrections) is -6.122 eV per atom. The calculation puts the formation energy without anion corrections at -0.4648 eV/atom. The value obtained for the theoretical density is 5.10 g/cm3.

a b c (Å): 4.4798 4.4798 5.3979
angles (deg): 90.00 90.00 90.00
Closest atoms and distances in Å follow each position.
Atoms (fractional coordinates):
Ba: 0.0000 0.0000 0.0000  4 S 3.17, 8 P 3.51
P: 0.0000 0.5000 0.5000  2 Ru 2.24
P: 0.5000 0.0000 0.5000  2 Ru 2.24
Ru: 0.5000 0.5000 0.5000  4 P 2.24
S: 0.5000 0.5000 0.0000  2 Ru 2.70

(2)
Entry from Alexandria: an optimized crystal structure of TaFePt2 (GGA-PBEsol).

The total DFT energy (no corrections) is -9.135 eV per atom. The value obtained for the formation enthalpy at 0 K is -0.274 eV per atom. The polymorph energy (0 for the lowest one) is 0.295 eV/atom. The value obtained for the theoretical density is 17.70 g/cm3.

a b c (Å): 6.1735 6.1735 6.1735
angles (deg): 90.00 90.00 90.00
Closest atoms and distances in Å follow each position.
Atoms (fractional coordinates):
Ta: 0.0000 0.0000 0.0000  4 Pt 2.67, 4 Fe 2.67
Ta: 0.0000 0.5000 0.5000  4 Pt 2.67, 4 Fe 2.67
Ta: 0.5000 0.0000 0.5000  4 Pt 2.67, 4 Fe 2.67
Ta: 0.5000 0.5000 0.0000  4 Pt 2.67, 4 Fe 2.67
Fe: 0.2500 0.2500 0.2500  4 Ta 2.67, 4 Pt 2.67
Fe: 0.2500 0.7500 0.7500  4 Ta 2.67, 4 Pt 2.67
Fe: 0.7500 0.2500 0.7500  4 Ta 2.67, 4 Pt 2.67
Fe: 0.7500 0.7500 0.2500  4 Ta 2.67, 4 Pt 2.67
Pt: 0.0000 0.0000 0.5000  4 Fe 2.67, 4 Pt 2.67
Pt: 0.0000 0.5000 0.0000  4 Fe 2.67, 4 Pt 2.67
Pt: 0.2500 0.2500 0.7500  4 Ta 2.67, 4 Pt 2.67
Pt: 0.2500 0.7500 0.2500  4 Ta 2.67, 4 Pt 2.67
Pt: 0.5000 0.0000 0.0000  4 Fe 2.67, 4 Pt 2.67
Pt: 0.5000 0.5000 0.5000  4 Fe 2.67, 4 Pt 2.67
Pt: 0.7500 0.2500 0.2500  4 Ta 2.67, 4 Pt 2.67
Pt: 0.7500 0.7500 0.7500  4 Ta 2.67, 4 Pt 2.67

Look up the total DFT energy (no corrections) of the first one.
-6.122 eV per atom

The highest total DFT energy (no corrections) belongs to which entry?
BaP2RuS

total DFT energy (no corrections) of number 1 (BaP2RuS)?
-6.122 eV per atom